1.
A plane-wave DFT calculation with PBE was carried out for an optimized crystal structure of TlMoCl3.

Summary:
ΔE to the lowest computed polymorph in meV per atom: 112
Calculated total energy in eV/cell: -21.476
D(E_F) in states/eV/f.u.: 0.75

```
data_TlMoCl3
_chemical_formula_sum 'Tl1 Mo1 Cl3'
_space_group_name_H-M_alt 'P m -3 m'
_space_group_IT_number 221
_space_group_name_Hall '-P 4 2 3'
_cell_length_a 5.164
_cell_length_b 5.164
_cell_length_c 5.164
_cell_angle_alpha 90.00
_cell_angle_beta 90.00
_cell_angle_gamma 90.00
loop_
_atom_site_label
_atom_site_fract_x
_atom_site_fract_y
_atom_site_fract_z
_atom_site_occupancy
Tl1 0.000 0.000 0.000 1
Mo1 0.500 0.500 0.500 1
Cl1 0.000 0.500 0.500 1
```

2.
A plane-wave DFT calculation with PBE was carried out for an optimized crystal structure of Tl2MoCl.

Summary:
ΔE to the lowest computed polymorph in meV per atom: 234
Calculated total energy in eV/cell: -31.909
D(E_F) in states/eV/f.u.: 2.75

```
data_Tl2MoCl
_chemical_formula_sum 'Tl4 Mo2 Cl2'
_space_group_name_H-M_alt 'A m m 2'
_space_group_IT_number 38
_space_group_name_Hall 'A 2 -2'
_cell_length_a 4.699
_cell_length_b 3.474
_cell_length_c 11.065
_cell_angle_alpha 90.00
_cell_angle_beta 90.00
_cell_angle_gamma 90.00
loop_
_atom_site_label
_atom_site_fract_x
_atom_site_fract_y
_atom_site_fract_z
_atom_site_occupancy
Tl1 0.000 0.000 0.000 1
Tl2 0.500 0.000 0.311 1
Mo1 0.000 0.000 0.736 1
Cl1 0.500 0.000 0.590 1
```

What energy relative to the elements, uncorrected values result from the calculations? In sequence: -0.55 0.36 eV per atom.